Entry 1:
Crystalline Sc2PW at its relaxed geometry. Source: Alexandria via LeMat-Bulk, functional PBE.

## Properties
Energy relative to the elements, eV/atom: -0.182
Space-group type: No. 166
Magnetic moment, μB per formula unit: 0.0

```
Sc2PW
1.0
-5.706 4.332 -3.866
-5.592 1.586 -5.699
-7.408 1.656 -2.940
P Sc W
1 2 1
Direct
0.000 0.000 0.000
0.739 0.739 0.739
0.261 0.261 0.261
0.500 0.500 0.500
```

Entry 2:
Crystalline Sc2PW at its relaxed geometry. Source: Alexandria via LeMat-Bulk, functional PBE.

## Properties
Energy relative to the elements, eV/atom: -0.250
Space-group type: No. 44
Magnetic moment, μB per formula unit: 0.0

```
Sc2PW
1.0
-1.675 2.277 4.709
1.675 -2.277 4.709
1.675 2.277 -4.709
W Sc P
1 2 1
Direct
0.529 0.529 0.000
0.986 0.986 0.000
0.264 0.764 0.500
0.721 0.221 0.500
```

Entry 3:
Crystalline ScPW2 at its relaxed geometry. Source: Alexandria via LeMat-Bulk, functional PBE.

## Properties
Energy relative to the elements, eV/atom: -0.019
Space-group type: No. 12
Magnetic moment, μB per formula unit: 0.0

```
ScPW2
1.0
-0.007 -3.886 3.131
0.816 -1.317 4.744
-4.110 0.129 1.891
Sc W P
1 2 1
Direct
0.500 0.500 0.000
0.728 0.728 0.283
0.272 0.272 0.717
0.000 0.000 0.500
```

Entry 4:
Crystalline ScPW2 at its relaxed geometry. Source: Alexandria via LeMat-Bulk, functional PBE.

## Properties
Energy relative to the elements, eV/atom: 0.141
Space-group type: No. 166
Magnetic moment, μB per formula unit: 0.0

```
ScPW2
1.0
8.277 -1.536 0.001
8.277 1.536 0.001
7.991 0.000 2.647
W Sc P
2 1 1
Direct
0.763 0.763 0.763
0.237 0.237 0.237
0.000 0.000 0.000
0.500 0.500 0.500
```

Entry 5:
Crystalline Sc2PW at its relaxed geometry. Source: Alexandria via LeMat-Bulk, functional PBE.

## Properties
Energy relative to the elements, eV/atom: -0.097
Space-group type: No. 71
Magnetic moment, μB per formula unit: 0.0

```
Sc2PW
1.0
1.036 -0.683 4.913
-1.087 4.181 2.649
-2.449 -3.102 -3.172
Sc P W
2 1 1
Direct
0.266 0.266 0.000
0.734 0.734 0.000
0.500 0.000 0.500
0.000 0.500 0.500
```

Entry 6:
Crystalline Sc2PW at its relaxed geometry. Source: Alexandria via LeMat-Bulk, functional PBE.

## Properties
Energy relative to the elements, eV/atom: 0.110
Space-group type: No. 122
Magnetic moment, μB per formula unit: 0.0

```
Sc2PW
1.0
-0.842 0.025 7.778
-6.646 -4.068 -0.706
-2.471 -4.126 3.681
P Sc W
2 4 2
Direct
0.500 0.500 0.000
0.250 0.750 0.500
0.562 0.125 0.250
0.375 0.438 0.750
0.188 0.625 0.250
0.875 0.812 0.750
0.000 0.000 0.000
0.750 0.250 0.500
```

Please write out number 6 again, unchanged.
Crystalline Sc2PW at its relaxed geometry. Source: Alexandria via LeMat-Bulk, functional PBE.

## Properties
Energy relative to the elements, eV/atom: 0.110
Space-group type: No. 122
Magnetic moment, μB per formula unit: 0.0

```
Sc2PW
1.0
-0.842 0.025 7.778
-6.646 -4.068 -0.706
-2.471 -4.126 3.681
P Sc W
2 4 2
Direct
0.500 0.500 0.000
0.250 0.750 0.500
0.562 0.125 0.250
0.375 0.438 0.750
0.188 0.625 0.250
0.875 0.812 0.750
0.000 0.000 0.000
0.750 0.250 0.500
```